Density functional theory data (GGA-PBE) for Nd2Dy5Ho5 after structural relaxation.

Values from the calculation:
Density of states at the Fermi level, states/eV/f.u.: 17.12
Formation energy, eV/atom: 0.0197
Theoretical density, g/cm³: 8.4
DFT total energy, eV per atom: -4.5998

Lattice parameters (Å, degrees): 5.0273 7.9538 10.6720 72.64 76.38 71.58
With the nearest neighbours (Å) after each atom.
Fractional positions:
Ho 0.0000 0.0000 0.0000  2 Ho 3.54, 8 Dy 3.55-3.56, 2 Nd 3.56
Nd 0.9170 0.4168 0.7493  7 Dy 3.55-3.57, 5 Ho 3.56-3.57
Nd 0.0830 0.5832 0.2507  7 Dy 3.55-3.57, 5 Ho 3.56-3.57
Dy 0.6663 0.6675 0.9998  4 Dy 3.54-3.57, 5 Ho 3.55-3.57, 3 Nd 3.56-3.57
Ho 0.2486 0.7522 0.7505  6 Dy 3.53-3.57, 4 Ho 3.54-3.56, 2 Nd 3.57
Ho 0.8323 0.8352 0.5003  5 Dy 3.53-3.57, 5 Ho 3.54-3.56, 2 Nd 3.56
Ho 0.7514 0.2478 0.2495  6 Dy 3.53-3.57, 4 Ho 3.54-3.56, 2 Nd 3.57
Dy 0.4155 0.9186 0.2504  7 Ho 3.53-3.56, 3 Dy 3.54-3.57, 2 Nd 3.57
Dy 0.5000 0.5000 0.5000  4 Nd 3.55, 2 Dy 3.56, 6 Ho 3.57
Dy 0.5845 0.0814 0.7496  7 Ho 3.53-3.56, 3 Dy 3.54-3.57, 2 Nd 3.57
Ho 0.1677 0.1648 0.4997  5 Dy 3.53-3.57, 5 Ho 3.54-3.56, 2 Nd 3.56
Dy 0.3337 0.3325 0.0002  4 Dy 3.54-3.57, 5 Ho 3.55-3.57, 3 Nd 3.56-3.57